Arrangement a

The following is a DFT calculation (GGA-PBE) of a geometry-optimized TbY4Ho3 structure.

a = 13.4153 Å, b = 13.4153 Å, c = 3.5553 Å
α = 90.09°, β = 90.09°, γ = 24.14°
Closest atoms and distances in Å follow each position.
Positions (direct):
Tb1 0.0000 0.0000 0.0000  4 Y 3.24-3.25, 4 Ho 3.32, 2 Tb 3.56
Y1 0.1034 0.1034 0.5003  1 Y 3.13, 2 Tb 3.24-3.25
Y2 0.2229 0.2229 0.4993  3 Y 3.13-3.15
Y3 0.7771 0.7771 0.5007  3 Y 3.13-3.15
Y4 0.8966 0.8966 0.4997  1 Y 3.13, 2 Tb 3.24-3.25
Ho1 0.3444 0.3444 0.0004  2 Ho 3.56, 10 Y 3.59-3.76
Ho2 0.5000 0.5000 0.5000  4 Tb 3.32, 2 Ho 3.56
Ho3 0.6556 0.6556 0.9996  2 Ho 3.56, 10 Y 3.59-3.76

Arrangement b

The following is a DFT calculation (GGA-PBE) of a geometry-optimized TbY4Ho3 structure.

a = 11.2475 Å, b = 7.2771 Å, c = 6.2880 Å
α = 90.00°, β = 90.00°, γ = 90.00°
Closest atoms and distances in Å follow each position.
Positions (direct):
Tb1 0.0000 0.1235 0.0000  6 Ho 3.50-3.62, 6 Y 3.51-3.66
Tb2 0.5000 0.8765 0.5000  6 Ho 3.50-3.62, 6 Y 3.51-3.66
Y1 0.0000 0.3735 0.4969  4 Ho 3.51-3.66, 6 Y 3.51-3.65, 2 Tb 3.62-3.65
Y2 0.0000 0.6264 0.9962  4 Ho 3.51-3.65, 6 Y 3.52-3.65, 2 Tb 3.62-3.66
Y3 0.2504 0.3736 0.8330  5 Ho 3.51-3.66, 6 Y 3.51-3.64, 1 Tb 3.51
Y4 0.2496 0.6264 0.3330  5 Ho 3.51-3.66, 6 Y 3.51-3.64, 1 Tb 3.51
Y5 0.5000 0.3736 0.4962  4 Ho 3.51-3.65, 6 Y 3.52-3.65, 2 Tb 3.62-3.66
Y6 0.5000 0.6265 0.9969  4 Ho 3.51-3.66, 6 Y 3.51-3.65, 2 Tb 3.62-3.65
Y7 0.7496 0.3736 0.8330  5 Ho 3.51-3.66, 6 Y 3.51-3.64, 1 Tb 3.51
Y8 0.7504 0.6264 0.3330  5 Ho 3.51-3.66, 6 Y 3.51-3.64, 1 Tb 3.51
Ho1 0.0000 0.8767 0.4994  4 Ho 3.49-3.50, 6 Y 3.51-3.66, 2 Tb 3.62
Ho2 0.2502 0.1236 0.3300  4 Ho 3.49-3.62, 2 Tb 3.50, 6 Y 3.51-3.66
Ho3 0.2498 0.8764 0.8300  4 Ho 3.49-3.62, 2 Tb 3.50, 6 Y 3.51-3.66
Ho4 0.5000 0.1233 0.9994  4 Ho 3.49-3.50, 6 Y 3.51-3.66, 2 Tb 3.62
Ho5 0.7498 0.1236 0.3300  4 Ho 3.49-3.62, 2 Tb 3.50, 6 Y 3.51-3.66
Ho6 0.7502 0.8764 0.8300  4 Ho 3.49-3.62, 2 Tb 3.50, 6 Y 3.51-3.66

Of them, arrangement b has the highest stability.

Arrangement a

The following is a DFT calculation (GGA-PBE) of a geometry-optimized Tb3Y2Ho8 structure.

a = 11.9404 Å, b = 11.9404 Å, c = 11.9404 Å
α = 152.99°, β = 146.98°, γ = 43.17°
Closest atoms and distances in Å follow each position.
Positions (direct):
Tb1 0.0000 0.0000 0.0000  4 Tb 3.32
Tb2 0.2645 0.5000 0.7645  3 Tb 3.20-3.32, 2 Ho 3.37
Tb3 0.7355 0.5000 0.2355  3 Tb 3.20-3.32, 2 Ho 3.37
Y1 0.2768 0.7768 0.5000  11 Ho 3.29-3.59
Y2 0.7232 0.2232 0.5000  11 Ho 3.29-3.59
Ho1 0.1098 0.3482 0.7616  4 Ho 3.24-3.55, 3 Y 3.30-3.59, 1 Tb 3.37
Ho2 0.1826 0.1826 0.0000  4 Ho 3.38, 4 Y 3.49-3.51
Ho3 0.4133 0.6518 0.7616  4 Ho 3.24-3.55, 3 Y 3.30-3.59, 1 Tb 3.37
Ho4 0.4252 0.9252 0.5000  1 Y 3.29, 5 Ho 3.32-3.65, 4 Tb 3.62
Ho5 0.5748 0.0748 0.5000  1 Y 3.29, 5 Ho 3.32-3.65, 4 Tb 3.62
Ho6 0.5867 0.3482 0.2384  4 Ho 3.24-3.55, 3 Y 3.30-3.59, 1 Tb 3.37
Ho7 0.8174 0.8174 0.0000  4 Ho 3.38, 4 Y 3.49-3.51
Ho8 0.8902 0.6518 0.2384  4 Ho 3.24-3.55, 3 Y 3.30-3.59, 1 Tb 3.37

Arrangement b

The following is a DFT calculation (GGA-PBE) of a geometry-optimized Tb3Y2Ho8 structure.

a = 10.8145 Å, b = 10.8145 Å, c = 5.5772 Å
α = 90.00°, β = 90.00°, γ = 138.85°
Closest atoms and distances in Å follow each position.
Positions (direct):
Tb1 0.0000 0.0000 0.0000  4 Ho 3.10
Tb2 0.2867 0.2867 0.5000  3 Tb 3.24-3.54, 6 Ho 3.45-3.54
Tb3 0.7133 0.7133 0.5000  3 Tb 3.24-3.54, 6 Ho 3.45-3.54
Y1 0.2414 0.7586 0.0000  8 Ho 3.36-3.56
Y2 0.7586 0.2414 0.0000  8 Ho 3.36-3.56
Ho1 0.1321 0.8679 0.5000  2 Tb 3.45, 2 Y 3.56, 6 Ho 3.58-3.86
Ho2 0.1805 0.3963 0.0000  1 Tb 3.10, 3 Ho 3.22-3.43, 1 Y 3.45
Ho3 0.3342 0.6658 0.5000  2 Y 3.36, 4 Ho 3.43, 2 Tb 3.73
Ho4 0.3963 0.1805 0.0000  1 Tb 3.10, 3 Ho 3.22-3.43, 1 Y 3.45
Ho5 0.6037 0.8195 0.0000  1 Tb 3.10, 3 Ho 3.22-3.43, 1 Y 3.45
Ho6 0.6658 0.3342 0.5000  2 Y 3.36, 4 Ho 3.43, 2 Tb 3.73
Ho7 0.8195 0.6037 0.0000  1 Tb 3.10, 3 Ho 3.22-3.43, 1 Y 3.45
Ho8 0.8679 0.1321 0.5000  2 Tb 3.45, 2 Y 3.56, 6 Ho 3.58-3.86

Of them, arrangement a has the highest stability.

Arrangement a

The following is a DFT calculation (GGA-PBE) of a geometry-optimized Tb2Y7Ho2 structure.

a = 6.5106 Å, b = 6.5106 Å, c = 8.6659 Å
α = 97.85°, β = 97.85°, γ = 93.01°
Closest atoms and distances in Å follow each position.
Positions (direct):
Tb1 0.1763 0.8237 0.0000  1 Tb 3.33, 8 Y 3.37-3.60, 2 Ho 3.46
Tb2 0.8237 0.1763 0.0000  1 Tb 3.33, 8 Y 3.37-3.60, 2 Ho 3.46
Y1 0.0518 0.4191 0.7085  2 Tb 3.37-3.60, 3 Ho 3.41-3.51, 4 Y 3.47-3.71
Y2 0.3480 0.3480 0.0918  6 Y 3.42-3.71, 1 Ho 3.46, 4 Tb 3.49-3.50
Y3 0.4191 0.0518 0.7085  2 Tb 3.37-3.60, 3 Ho 3.41-3.51, 4 Y 3.47-3.71
Y4 0.5000 0.5000 0.5000  2 Ho 3.52, 10 Y 3.53-3.89
Y5 0.5809 0.9482 0.2915  2 Tb 3.37-3.60, 3 Ho 3.41-3.51, 4 Y 3.47-3.71
Y6 0.6520 0.6520 0.9082  6 Y 3.42-3.71, 1 Ho 3.46, 4 Tb 3.49-3.50
Y7 0.9482 0.5809 0.2915  2 Tb 3.37-3.60, 3 Ho 3.41-3.51, 4 Y 3.47-3.71
Ho1 0.1042 0.1042 0.3556  1 Ho 3.41, 8 Y 3.41-3.52, 2 Tb 3.46
Ho2 0.8958 0.8958 0.6444  1 Ho 3.41, 8 Y 3.41-3.52, 2 Tb 3.46

Arrangement b

The following is a DFT calculation (GGA-PBE) of a geometry-optimized Tb2Y7Ho2 structure.

a = 9.3503 Å, b = 9.3503 Å, c = 9.3503 Å
α = 145.61°, β = 63.56°, γ = 128.32°
Closest atoms and distances in Å follow each position.
Positions (direct):
Tb1 0.2007 0.0000 0.2007  9 Y 3.39-3.59, 1 Ho 3.63
Tb2 0.7993 0.0000 0.7993  9 Y 3.39-3.59, 1 Ho 3.63
Y1 0.0688 0.7080 0.3608  1 Ho 3.24, 3 Tb 3.39-3.48, 4 Y 3.39-3.61
Y2 0.2013 0.2013 0.0000  3 Ho 3.36-3.68, 6 Y 3.52-3.54, 2 Tb 3.59
Y3 0.3381 0.4986 0.8395  3 Ho 3.48-3.76, 7 Y 3.52-3.68, 2 Tb 3.54
Y4 0.3472 0.7080 0.6392  1 Ho 3.24, 3 Tb 3.39-3.48, 4 Y 3.39-3.61
Y5 0.6553 0.2925 0.3628  3 Ho 3.24-3.52, 2 Y 3.39-3.63, 3 Tb 3.39-3.51
Y6 0.6591 0.4986 0.1605  3 Ho 3.48-3.76, 7 Y 3.52-3.68, 2 Tb 3.54
Y7 0.9297 0.2925 0.6372  3 Ho 3.24-3.52, 2 Y 3.39-3.63, 3 Tb 3.39-3.51
Ho1 0.4986 0.9986 0.5000  4 Y 3.24
Ho2 0.7886 0.7886 0.0000  7 Y 3.36-3.52, 2 Tb 3.63, 2 Ho 3.64

Of them, arrangement a has the highest stability.

Arrangement a

The following is a DFT calculation (GGA-PBE) of a geometry-optimized TbY12Ho7 structure.

a = 8.6888 Å, b = 8.6888 Å, c = 8.6888 Å
α = 95.16°, β = 95.16°, γ = 95.16°
Closest atoms and distances in Å follow each position.
Positions (direct):
Tb1 0.0000 0.0000 0.0000  6 Ho 3.08
Y1 0.1490 0.4173 0.4807  2 Ho 3.06-3.07, 2 Y 3.10-3.37
Y2 0.1840 0.7506 0.3115  3 Ho 3.34-3.56, 3 Y 3.37-3.57
Y3 0.2494 0.6885 0.8160  3 Ho 3.34-3.56, 3 Y 3.37-3.57
Y4 0.3115 0.1840 0.7506  3 Ho 3.34-3.56, 3 Y 3.37-3.57
Y5 0.4173 0.4807 0.1490  2 Ho 3.06-3.07, 2 Y 3.10-3.37
Y6 0.4807 0.1490 0.4173  2 Ho 3.06-3.07, 2 Y 3.10-3.37
Y7 0.5193 0.8510 0.5827  2 Ho 3.06-3.07, 2 Y 3.10-3.37
Y8 0.5827 0.5193 0.8510  2 Ho 3.06-3.07, 2 Y 3.10-3.37
Y9 0.6885 0.8160 0.2494  3 Ho 3.34-3.56, 3 Y 3.37-3.57
Y10 0.7506 0.3115 0.1840  3 Ho 3.34-3.56, 3 Y 3.37-3.57
Y11 0.8160 0.2494 0.6885  3 Ho 3.34-3.56, 3 Y 3.37-3.57
Y12 0.8510 0.5827 0.5193  2 Ho 3.06-3.07, 2 Y 3.10-3.37
Ho1 0.0229 0.0848 0.3532  2 Y 3.07-3.34, 1 Tb 3.08, 1 Ho 3.10
Ho2 0.0848 0.3532 0.0229  2 Y 3.07-3.34, 1 Tb 3.08, 1 Ho 3.10
Ho3 0.3532 0.0229 0.0848  2 Y 3.07-3.34, 1 Tb 3.08, 1 Ho 3.10
Ho4 0.5000 0.5000 0.5000  6 Y 3.06
Ho5 0.6468 0.9771 0.9152  2 Y 3.07-3.34, 1 Tb 3.08, 1 Ho 3.10
Ho6 0.9152 0.6468 0.9771  2 Y 3.07-3.34, 1 Tb 3.08, 1 Ho 3.10
Ho7 0.9771 0.9152 0.6468  2 Y 3.07-3.34, 1 Tb 3.08, 1 Ho 3.10

Arrangement b

The following is a DFT calculation (GGA-PBE) of a geometry-optimized TbY12Ho7 structure.

a = 10.9531 Å, b = 10.9531 Å, c = 10.9531 Å
α = 115.94°, β = 115.94°, γ = 115.94°
Closest atoms and distances in Å follow each position.
Positions (direct):
Tb1 0.0000 0.0000 0.0000  8 Ho 3.15-3.35
Y1 0.0813 0.2926 0.5023  4 Y 3.21-3.50, 3 Ho 3.39-3.57
Y2 0.1996 0.7450 0.2671  2 Ho 3.18-3.31, 5 Y 3.21-3.50
Y3 0.2550 0.7329 0.8004  2 Ho 3.18-3.31, 5 Y 3.21-3.50
Y4 0.2671 0.1996 0.7450  2 Ho 3.18-3.31, 5 Y 3.21-3.50
Y5 0.2926 0.5023 0.0813  4 Y 3.21-3.50, 3 Ho 3.39-3.57
Y6 0.4977 0.9187 0.7074  4 Y 3.21-3.50, 3 Ho 3.39-3.57
Y7 0.5023 0.0813 0.2926  4 Y 3.21-3.50, 3 Ho 3.39-3.57
Y8 0.7074 0.4977 0.9187  4 Y 3.21-3.50, 3 Ho 3.39-3.57
Y9 0.7329 0.8004 0.2550  2 Ho 3.18-3.31, 5 Y 3.21-3.50
Y10 0.7450 0.2671 0.1996  2 Ho 3.18-3.31, 5 Y 3.21-3.50
Y11 0.8004 0.2550 0.7329  2 Ho 3.18-3.31, 5 Y 3.21-3.50
Y12 0.9187 0.7074 0.4977  4 Y 3.21-3.50, 3 Ho 3.39-3.57
Ho1 0.0670 0.3688 0.2031  1 Tb 3.15, 4 Y 3.18-3.50, 1 Ho 3.40
Ho2 0.2031 0.0670 0.3688  1 Tb 3.15, 4 Y 3.18-3.50, 1 Ho 3.40
Ho3 0.3688 0.2031 0.0670  1 Tb 3.15, 4 Y 3.18-3.50, 1 Ho 3.40
Ho4 0.5000 0.5000 0.5000  2 Tb 3.35, 6 Ho 3.40
Ho5 0.6312 0.7969 0.9330  1 Tb 3.15, 4 Y 3.18-3.50, 1 Ho 3.40
Ho6 0.7969 0.9330 0.6312  1 Tb 3.15, 4 Y 3.18-3.50, 1 Ho 3.40
Ho7 0.9330 0.6312 0.7969  1 Tb 3.15, 4 Y 3.18-3.50, 1 Ho 3.40

Of them, arrangement a has the highest stability.

Arrangement a

The following is a DFT calculation (GGA-PBE) of a geometry-optimized TbY7Ho4 structure.

a = 6.5055 Å, b = 6.7917 Å, c = 9.0746 Å
α = 86.19°, β = 76.62°, γ = 82.09°
Closest atoms and distances in Å follow each position.
Positions (direct):
Tb1 0.0000 0.0000 0.0000  2 Ho 3.37, 4 Y 3.40-3.48
Y1 0.0000 0.5000 0.0000  4 Ho 3.39-3.63, 2 Tb 3.40, 4 Y 3.49-3.72
Y2 0.1902 0.1084 0.3874  5 Y 3.28-3.63, 5 Ho 3.30-3.59
Y3 0.3170 0.6950 0.6386  5 Y 3.42-3.72, 4 Ho 3.45-3.53
Y4 0.4857 0.2499 0.0506  5 Y 3.37-3.54, 4 Ho 3.39-3.70, 1 Tb 3.48
Y5 0.5143 0.7501 0.9494  5 Y 3.37-3.54, 4 Ho 3.39-3.70, 1 Tb 3.48
Y6 0.6830 0.3050 0.3614  5 Y 3.42-3.72, 4 Ho 3.45-3.53
Y7 0.8098 0.8916 0.6126  5 Y 3.28-3.63, 5 Ho 3.30-3.59
Ho1 0.1607 0.6185 0.3084  7 Y 3.39-3.66, 2 Ho 3.51
Ho2 0.3591 0.1884 0.7161  7 Y 3.30-3.63, 1 Tb 3.37, 2 Ho 3.51
Ho3 0.6409 0.8116 0.2839  7 Y 3.30-3.63, 1 Tb 3.37, 2 Ho 3.51
Ho4 0.8393 0.3815 0.6916  7 Y 3.39-3.66, 2 Ho 3.51

Arrangement b

The following is a DFT calculation (GGA-PBE) of a geometry-optimized TbY7Ho4 structure.

a = 6.6990 Å, b = 6.6990 Å, c = 12.7053 Å
α = 114.82°, β = 114.82°, γ = 51.84°
Closest atoms and distances in Å follow each position.
Positions (direct):
Tb1 0.0000 0.0000 0.0000  4 Y 2.93-3.12
Y1 0.0614 0.0614 0.3205  4 Y 3.29-3.57, 3 Ho 3.62-3.66
Y2 0.2113 0.2113 0.9234  1 Tb 3.12, 4 Y 3.14-3.40, 4 Ho 3.28-3.39
Y3 0.3658 0.3658 0.4993  4 Y 3.22-3.57, 5 Ho 3.27-3.57
Y4 0.5000 0.5000 0.0000  2 Tb 2.93, 2 Y 3.14
Y5 0.6342 0.6342 0.5007  4 Y 3.22-3.57, 5 Ho 3.27-3.57
Y6 0.7887 0.7887 0.0766  1 Tb 3.12, 4 Y 3.14-3.40, 4 Ho 3.28-3.39
Y7 0.9386 0.9386 0.6795  4 Y 3.29-3.57, 3 Ho 3.62-3.66
Ho1 0.2432 0.2432 0.6807  4 Y 3.27-3.57, 2 Ho 3.61
Ho2 0.3613 0.3613 0.2251  7 Y 3.37-3.62, 2 Ho 3.61
Ho3 0.6387 0.6387 0.7749  7 Y 3.37-3.62, 2 Ho 3.61
Ho4 0.7568 0.7568 0.3193  4 Y 3.27-3.57, 2 Ho 3.61

Of them, arrangement a has the highest stability.

Arrangement a

The following is a DFT calculation (GGA-PBE) of a geometry-optimized Tb2Y3Ho6 structure.

a = 6.1303 Å, b = 7.9004 Å, c = 7.9359 Å
α = 107.48°, β = 104.70°, γ = 97.35°
Closest atoms and distances in Å follow each position.
Positions (direct):
Tb1 0.0906 0.3169 0.3638  7 Ho 3.52-3.56, 4 Y 3.53-3.56, 1 Tb 3.54
Tb2 0.9094 0.6831 0.6362  7 Ho 3.52-3.56, 4 Y 3.53-3.56, 1 Tb 3.54
Y1 0.0000 0.5000 0.0000  8 Ho 3.53-3.55, 2 Tb 3.56, 2 Y 3.56
Y2 0.3641 0.7727 0.4549  3 Tb 3.53-3.55, 2 Y 3.54-3.56, 7 Ho 3.54-3.57
Y3 0.6359 0.2273 0.5451  3 Tb 3.53-3.55, 2 Y 3.54-3.56, 7 Ho 3.54-3.57
Ho1 0.1819 0.1364 0.7282  6 Ho 3.52-3.57, 2 Tb 3.52-3.55, 4 Y 3.53-3.55
Ho2 0.2725 0.9554 0.0894  7 Ho 3.52-3.55, 2 Tb 3.53-3.55, 3 Y 3.54-3.57
Ho3 0.4537 0.5913 0.8190  5 Ho 3.53-3.55, 4 Y 3.53-3.55, 3 Tb 3.54-3.56
Ho4 0.5463 0.4087 0.1810  5 Ho 3.53-3.55, 4 Y 3.53-3.55, 3 Tb 3.54-3.56
Ho5 0.7275 0.0446 0.9106  7 Ho 3.52-3.55, 2 Tb 3.53-3.55, 3 Y 3.54-3.57
Ho6 0.8181 0.8636 0.2718  6 Ho 3.52-3.57, 2 Tb 3.52-3.55, 4 Y 3.53-3.55

Arrangement b

The following is a DFT calculation (GGA-PBE) of a geometry-optimized Tb2Y3Ho6 structure.

a = 16.8364 Å, b = 16.8364 Å, c = 16.8364 Å
α = 163.90°, β = 163.90°, γ = 22.85°
Closest atoms and distances in Å follow each position.
Positions (direct):
Tb1 0.0460 0.0460 0.0000  1 Tb 3.04
Tb2 0.9540 0.9540 0.0000  1 Tb 3.04
Y1 0.2978 0.2978 0.0000  9 Ho 3.35-3.58
Y2 0.5000 0.5000 0.0000  8 Tb 3.66
Y3 0.7022 0.7022 0.0000  9 Ho 3.35-3.58
Ho1 0.1207 0.6207 0.5000  6 Ho 3.34-3.37, 2 Tb 3.41, 2 Y 3.58
Ho2 0.1934 0.1934 0.0000  5 Y 3.35-3.45, 4 Ho 3.37
Ho3 0.3793 0.8793 0.5000  6 Ho 3.34-3.37, 2 Tb 3.41, 2 Y 3.58
Ho4 0.6207 0.1207 0.5000  6 Ho 3.34-3.37, 2 Tb 3.41, 2 Y 3.58
Ho5 0.8066 0.8066 0.0000  5 Y 3.35-3.45, 4 Ho 3.37
Ho6 0.8793 0.3793 0.5000  6 Ho 3.34-3.37, 2 Tb 3.41, 2 Y 3.58

Of them, arrangement a has the highest stability.